(1)
First-principles (GGA-PBE) data for a relaxed NaPmPb6 crystal, as listed in Alexandria via LeMat-Bulk.

* DFT formation energy: -238 meV per atom
* N(E_F): 2.57 states/eV/f.u.

```
8
Lattice="4.876 0.000 0.000 0.000 4.876 0.000 0.000 0.000 9.999" Properties=species:S:1:pos:R:3 pbc="T T T"
Pb 0.000 2.438 2.536
Pb 2.438 2.438 4.999
Na 0.000 0.000 4.999
Pm 0.000 0.000 0.000
Pb 2.438 0.000 7.462
Pb 0.000 2.438 7.462
Pb 2.438 0.000 2.536
Pb 2.438 2.438 0.000
```

---

(2)
First-principles (GGA-PBE) data for a relaxed LiSmSc crystal, as listed in Alexandria via LeMat-Bulk.

* DFT formation energy: 116 meV per atom
* distance to the lowest polymorph of the same formula: 59 meV per atom
* N(E_F): 4.28 states/eV/f.u.

```
3
Lattice="3.594 0.000 0.000 0.000 3.594 0.000 -1.797 -1.797 5.905" Properties=species:S:1:pos:R:3 pbc="T T T"
Sc 0.000 0.000 3.722
Sm 0.000 0.000 0.079
Li 1.797 1.797 2.104
```

---

(3)
First-principles (GGA-PBE) data for a relaxed LiSnAs2 crystal, as listed in Alexandria via LeMat-Bulk.

* DFT formation energy: -90 meV per atom
* N(E_F): 2.20 states/eV/f.u.

```
8
Lattice="6.216 0.000 0.000 0.000 6.216 0.000 3.108 3.108 5.552" Properties=species:S:1:pos:R:3 pbc="T T T"
As 4.662 4.730 4.164
As 1.622 4.662 1.388
As 4.594 1.554 1.388
Sn 6.216 3.108 2.776
Sn 0.000 0.000 0.000
Li 3.108 6.216 2.776
As 7.770 7.702 4.164
Li 3.108 3.108 0.000
```

---

(4)
First-principles (GGA-PBE) data for a relaxed RbBeSbTe2 crystal, as listed in Alexandria via LeMat-Bulk.

* distance to the lowest polymorph of the same formula: 0 meV per atom
* N(E_F): 2.83 states/eV/f.u.
* energy relative to the elements, uncorrected: 0 meV/atom

```
5
Lattice="-0.215 -0.846 -5.470 -4.836 -2.634 0.598 -2.349 4.186 -0.555" Properties=species:S:1:pos:R:3 pbc="T T T"
Be 0.000 0.000 0.000
Te -0.108 -0.423 -2.735
Te -2.418 -1.317 0.299
Rb -3.700 0.353 -2.713
Sb -1.174 2.093 -0.277
```

---

(5)
First-principles (GGA-PBE) data for a relaxed TaCd2Fe crystal, as listed in Alexandria via LeMat-Bulk.

* DFT formation energy: 209 meV per atom
* distance to the lowest polymorph of the same formula: 55 meV per atom
* N(E_F): 2.81 states/eV/f.u.

```
4
Lattice="2.863 0.020 0.000 -0.805 2.748 0.000 0.000 0.000 9.116" Properties=species:S:1:pos:R:3 pbc="T T T"
Cd 1.029 1.384 2.529
Cd 0.000 0.000 9.019
Ta 1.029 1.384 6.554
Fe 0.000 0.000 4.689
```

---

(6)
First-principles (GGA-PBE) data for a relaxed Ce2ScCdC crystal, as listed in Alexandria via LeMat-Bulk.

* DFT formation energy: -226 meV per atom
* N(E_F): 9.52 states/eV/f.u.

```
5
Lattice="-3.982 -1.653 1.667 -1.518 -1.033 -4.650 2.035 -4.553 0.347" Properties=species:S:1:pos:R:3 pbc="T T T"
Cd -1.732 -3.620 -1.318
Sc -1.991 -0.827 0.834
Ce 1.018 -2.276 0.174
C 0.000 0.000 0.000
Ce -0.759 -0.517 -2.325
```

---

(7)
First-principles (GGA-PBE) data for a relaxed PrGaBr crystal, as listed in Alexandria via LeMat-Bulk.

* N(E_F): 1.02 states/eV/f.u.
* energy relative to the elements, uncorrected: -1266 meV/atom

```
6
Lattice="4.266 0.000 0.000 2.133 3.694 0.022 2.133 1.161 11.661" Properties=species:S:1:pos:R:3 pbc="T T T"
Pr 4.266 2.415 7.983
Ga 6.399 3.661 5.556
Pr 4.266 2.440 3.701
Br 2.133 1.221 1.870
Br 6.399 3.635 9.814
Ga 2.133 1.194 6.128
```

---

(8)
First-principles (GGA-PBE) data for a relaxed HfTaTiVGa crystal, as listed in Alexandria via LeMat-Bulk.

* DFT formation energy: -43 meV per atom
* distance to the lowest polymorph of the same formula: 147 meV per atom
* N(E_F): 5.06 states/eV/f.u.

```
10
Lattice="10.940 0.000 -0.037 0.000 3.581 0.000 -0.961 0.000 4.456" Properties=species:S:1:pos:R:3 pbc="T T T"
Ga 5.012 1.790 1.534
Hf 6.769 1.790 4.256
Ti 2.470 1.790 3.338
V 9.215 1.790 2.763
Ta 0.805 1.790 0.914
Ti 2.950 0.000 1.110
V 9.695 0.000 0.535
Ta 0.325 0.000 3.142
Ga 4.531 0.000 3.763
Hf 7.250 0.000 2.028
```